1.
Density functional theory data (PBE-GGA) for a relaxed structure of Ce2YHoSb5.

Cell: 5.2939 5.2939 11.5512 Å, 90.00 90.00 90.00°
Closest atoms and distances in Å follow each position.
Sites, in units of the cell vectors:
Ce: 0.0000 0.0000 0.2130  5 Sb 3.32-3.61
Ce: 0.0000 0.0000 0.7870  5 Sb 3.32-3.61
Y: 0.5000 0.5000 0.5000  2 Sb 2.86
Ho: 0.5000 0.5000 0.0000  6 Sb 2.65-2.92
Sb: 0.0000 0.0000 0.5000  2 Ce 3.32
Sb: 0.0000 0.5000 0.0000  2 Ho 2.65
Sb: 0.5000 0.0000 0.0000  2 Ho 2.65
Sb: 0.5000 0.5000 0.2524  1 Y 2.86, 1 Ho 2.92
Sb: 0.5000 0.5000 0.7476  1 Y 2.86, 1 Ho 2.92

Values from the calculation:
Formation energy without anion corrections: -300.7 meV per atom
Total DFT energy (no corrections): -5.14 eV per atom
SG: No. 123
M_tot: 1.7 μB per cell

---

2.
Density functional theory data (PBE-GGA) for a relaxed structure of Ce3YHo2Sb6.

Cell: 7.6918 7.6918 7.6811 Å, 99.61 99.61 119.99°
Closest atoms and distances in Å follow each position.
Sites, in units of the cell vectors:
Ce: 0.0000 0.0000 0.0000  6 Sb 3.16-3.17
Ce: 0.3337 0.6663 0.0000  6 Sb 3.16-3.17
Ce: 0.6663 0.3337 0.0000  6 Sb 3.16-3.17
Y: 0.5000 0.5000 0.5000  6 Sb 3.12
Ho: 0.1668 0.8332 0.5000  6 Sb 3.11
Ho: 0.8332 0.1668 0.5000  6 Sb 3.11
Sb: 0.0846 0.4190 0.2569  2 Ho 3.11, 1 Y 3.12, 3 Ce 3.16-3.17
Sb: 0.2466 0.2466 0.7427  2 Ho 3.11, 1 Y 3.12, 3 Ce 3.16-3.17
Sb: 0.4190 0.0846 0.2569  2 Ho 3.11, 1 Y 3.12, 3 Ce 3.16-3.17
Sb: 0.5810 0.9154 0.7431  2 Ho 3.11, 1 Y 3.12, 3 Ce 3.16-3.17
Sb: 0.7534 0.7534 0.2573  2 Ho 3.11, 1 Y 3.12, 3 Ce 3.16-3.17
Sb: 0.9154 0.5810 0.7431  2 Ho 3.11, 1 Y 3.12, 3 Ce 3.16-3.17

Values from the calculation:
Formation energy without anion corrections: -1088.8 meV per atom
Total DFT energy (no corrections): -5.94 eV per atom
SG: No. 12
M_tot: 2.4 μB per cell

---

3.
Density functional theory data (PBE-GGA) for a relaxed structure of CeHo14Sc.

Cell: 7.0119 7.0119 9.9124 Å, 90.00 90.00 90.00°
Closest atoms and distances in Å follow each position.
Sites, in units of the cell vectors:
Ce: 0.0000 0.0000 0.0000  12 Ho 3.49-3.51
Ho: 0.0000 0.0000 0.5000  12 Ho 3.51-3.53
Ho: 0.0000 0.5000 0.0000  8 Ho 3.49, 2 Sc 3.51, 2 Ce 3.51
Ho: 0.0000 0.5000 0.5000  12 Ho 3.51-3.52
Ho: 0.2507 0.2507 0.2472  1 Sc 3.48, 10 Ho 3.49-3.53, 1 Ce 3.49
Ho: 0.2507 0.2507 0.7528  1 Sc 3.48, 10 Ho 3.49-3.53, 1 Ce 3.49
Ho: 0.2507 0.7493 0.2472  1 Sc 3.48, 10 Ho 3.49-3.53, 1 Ce 3.49
Ho: 0.2507 0.7493 0.7528  1 Sc 3.48, 10 Ho 3.49-3.53, 1 Ce 3.49
Ho: 0.5000 0.0000 0.0000  8 Ho 3.49, 2 Sc 3.51, 2 Ce 3.51
Ho: 0.5000 0.0000 0.5000  12 Ho 3.51-3.52
Ho: 0.5000 0.5000 0.5000  12 Ho 3.51-3.52
Ho: 0.7493 0.2507 0.2472  1 Sc 3.48, 10 Ho 3.49-3.53, 1 Ce 3.49
Ho: 0.7493 0.2507 0.7528  1 Sc 3.48, 10 Ho 3.49-3.53, 1 Ce 3.49
Ho: 0.7493 0.7493 0.2472  1 Sc 3.48, 10 Ho 3.49-3.53, 1 Ce 3.49
Ho: 0.7493 0.7493 0.7528  1 Sc 3.48, 10 Ho 3.49-3.53, 1 Ce 3.49
Sc: 0.5000 0.5000 0.0000  12 Ho 3.48-3.51

Values from the calculation:
Total DFT energy (no corrections): -4.74 eV per atom
SG: No. 123
M_tot: 0.8 μB per cell

---

4.
Density functional theory data (PBE-GGA) for a relaxed structure of CeHoSc6.

Cell: 6.7161 6.7161 5.3285 Å, 90.00 90.00 120.00°
Closest atoms and distances in Å follow each position.
Sites, in units of the cell vectors:
Ce: 0.0000 0.0000 0.0000  12 Sc 3.30-3.36
Ho: 0.6667 0.3333 0.5000  12 Sc 3.32-3.36
Sc: 0.0066 0.5033 0.0000  8 Sc 3.28-3.42, 2 Ho 3.32, 2 Ce 3.36
Sc: 0.1669 0.3339 0.5000  8 Sc 3.28-3.36, 2 Ce 3.30, 2 Ho 3.36
Sc: 0.1669 0.8331 0.5000  8 Sc 3.28-3.36, 2 Ce 3.30, 2 Ho 3.36
Sc: 0.4967 0.5033 0.0000  8 Sc 3.28-3.42, 2 Ho 3.32, 2 Ce 3.36
Sc: 0.4967 0.9934 0.0000  8 Sc 3.28-3.42, 2 Ho 3.32, 2 Ce 3.36
Sc: 0.6661 0.8331 0.5000  8 Sc 3.28-3.36, 2 Ce 3.30, 2 Ho 3.36

Values from the calculation:
Total DFT energy (no corrections): -6.02 eV per atom
SG: No. 187
M_tot: 0.5 μB per cell

---

5.
Density functional theory data (PBE-GGA) for a relaxed structure of Ce4HoSc.

Cell: 6.2232 6.2232 6.2232 Å, 60.00 60.00 60.00°
Closest atoms and distances in Å follow each position.
Sites, in units of the cell vectors:
Ce: 0.3777 0.3777 0.3777  6 Ce 3.04-3.18
Ce: 0.3777 0.3777 0.8668  6 Ce 3.04-3.18
Ce: 0.3777 0.8668 0.3777  6 Ce 3.04-3.18
Ce: 0.8668 0.3777 0.3777  6 Ce 3.04-3.18
Ho: 0.0000 0.0000 0.0000  12 Ce 3.66, 4 Sc 3.81
Sc: 0.7500 0.7500 0.7500  12 Ce 3.64, 4 Ho 3.81

Values from the calculation:
Total DFT energy (no corrections): -5.53 eV per atom
SG: No. 216
M_tot: 3.8 μB per cell

---

6.
Density functional theory data (PBE-GGA) for a relaxed structure of CeHoSc4.

Cell: 6.9460 5.4253 8.4085 Å, 90.00 90.00 90.00°
Closest atoms and distances in Å follow each position.
Sites, in units of the cell vectors:
Ce: 0.2500 0.0000 0.2070  6 Sc 3.01-3.19, 1 Ho 3.08
Ce: 0.7500 0.0000 0.7930  6 Sc 3.01-3.19, 1 Ho 3.08
Ho: 0.2500 0.0000 0.8403  1 Ce 3.08, 6 Sc 3.27-3.35
Ho: 0.7500 0.0000 0.1597  1 Ce 3.08, 6 Sc 3.27-3.35
Sc: 0.0000 0.0000 0.5000  2 Ce 3.01, 4 Sc 3.22, 2 Ho 3.35
Sc: 0.0104 0.5000 0.1836  4 Sc 3.09-3.33, 2 Ce 3.19, 2 Ho 3.27
Sc: 0.2500 0.5000 0.5057  10 Sc 3.18-3.47
Sc: 0.4896 0.5000 0.1836  4 Sc 3.09-3.33, 2 Ce 3.19, 2 Ho 3.27
Sc: 0.5000 0.0000 0.5000  2 Ce 3.01, 4 Sc 3.22, 2 Ho 3.35
Sc: 0.5104 0.5000 0.8164  4 Sc 3.09-3.33, 2 Ce 3.19, 2 Ho 3.27
Sc: 0.7500 0.5000 0.4943  10 Sc 3.18-3.47
Sc: 0.9896 0.5000 0.8164  4 Sc 3.09-3.33, 2 Ce 3.19, 2 Ho 3.27

Values from the calculation:
Total DFT energy (no corrections): -5.78 eV per atom
Offset from the most stable computed form: 127.2 meV/atom
SG: No. 51
M_tot: 1.4 μB per cell

---

7.
Density functional theory data (PBE-GGA) for a relaxed structure of CeHo3Sc2.

Cell: 8.6814 8.6814 13.7797 Å, 116.52 116.52 22.20°
Closest atoms and distances in Å follow each position.
Sites, in units of the cell vectors:
Ce: 0.0602 0.0602 0.1380  4 Sc 3.29-3.47, 3 Ce 3.34-3.40, 4 Ho 3.52-3.57
Ce: 0.9398 0.9398 0.8620  4 Sc 3.29-3.47, 3 Ce 3.34-3.40, 4 Ho 3.52-3.57
Ho: 0.1045 0.1045 0.5280  3 Sc 3.26-3.32, 6 Ho 3.28-3.52
Ho: 0.2410 0.2410 0.7999  4 Sc 3.24-3.32, 5 Ho 3.34-3.55, 2 Ce 3.52
Ho: 0.4636 0.4636 0.2862  3 Sc 3.34-3.56, 8 Ho 3.34-3.66, 2 Ce 3.57
Ho: 0.5364 0.5364 0.7138  3 Sc 3.34-3.56, 8 Ho 3.34-3.66, 2 Ce 3.57
Ho: 0.7590 0.7590 0.2001  4 Sc 3.24-3.32, 5 Ho 3.34-3.55, 2 Ce 3.52
Ho: 0.8955 0.8955 0.4720  3 Sc 3.26-3.32, 6 Ho 3.28-3.52
Sc: 0.1560 0.1560 0.9677  5 Ho 3.24-3.56, 2 Ce 3.29-3.41, 4 Sc 3.34-3.35
Sc: 0.3180 0.3180 0.6185  5 Ho 3.26-3.34, 4 Sc 3.34-3.46, 2 Ce 3.47
Sc: 0.6820 0.6820 0.3815  5 Ho 3.26-3.34, 4 Sc 3.34-3.46, 2 Ce 3.47
Sc: 0.8440 0.8440 0.0323  5 Ho 3.24-3.56, 2 Ce 3.29-3.41, 4 Sc 3.34-3.35

Values from the calculation:
Total DFT energy (no corrections): -5.23 eV per atom
SG: No. 12
M_tot: 2.3 μB per cell

---

8.
Density functional theory data (PBE-GGA) for a relaxed structure of CeHo3Sc6.

Cell: 8.4457 8.4457 8.5220 Å, 90.00 90.00 116.53°
Closest atoms and distances in Å follow each position.
Sites, in units of the cell vectors:
Ce: 0.2298 0.7702 0.5000  6 Sc 3.12-3.45, 3 Ho 3.19-3.40
Ce: 0.7702 0.2298 0.0000  6 Sc 3.12-3.45, 3 Ho 3.19-3.40
Ho: 0.0513 0.9487 0.2766  1 Ce 3.19, 5 Sc 3.23-3.47, 4 Ho 3.24-3.53
Ho: 0.1945 0.3212 0.0907  7 Sc 3.15-3.43, 1 Ho 3.24, 1 Ce 3.40
Ho: 0.3212 0.1945 0.5907  7 Sc 3.15-3.43, 1 Ho 3.24, 1 Ce 3.40
Ho: 0.6788 0.8055 0.0907  7 Sc 3.15-3.43, 1 Ho 3.24, 1 Ce 3.40
Ho: 0.8055 0.6788 0.5907  7 Sc 3.15-3.43, 1 Ho 3.24, 1 Ce 3.40
Ho: 0.9487 0.0513 0.7766  1 Ce 3.19, 5 Sc 3.23-3.47, 4 Ho 3.24-3.53
Sc: 0.0278 0.3218 0.4208  5 Sc 3.09-3.23, 2 Ho 3.15-3.43, 1 Ce 3.45
Sc: 0.1758 0.4755 0.7573  3 Sc 3.10-3.23, 3 Ho 3.16-3.43, 1 Ce 3.19
Sc: 0.2783 0.7217 0.1436  3 Sc 3.09-3.28, 1 Ce 3.12, 3 Ho 3.16-3.45
Sc: 0.3218 0.0278 0.9208  5 Sc 3.09-3.23, 2 Ho 3.15-3.43, 1 Ce 3.45
Sc: 0.4479 0.5521 0.4007  4 Ho 3.16-3.41, 5 Sc 3.20-3.51, 1 Ce 3.25
Sc: 0.4755 0.1758 0.2573  3 Sc 3.10-3.23, 3 Ho 3.16-3.43, 1 Ce 3.19
Sc: 0.5245 0.8242 0.7573  3 Sc 3.10-3.23, 3 Ho 3.16-3.43, 1 Ce 3.19
Sc: 0.5521 0.4479 0.9007  4 Ho 3.16-3.41, 5 Sc 3.20-3.51, 1 Ce 3.25
Sc: 0.6782 0.9722 0.4208  5 Sc 3.09-3.23, 2 Ho 3.15-3.43, 1 Ce 3.45
Sc: 0.7217 0.2783 0.6436  3 Sc 3.09-3.28, 1 Ce 3.12, 3 Ho 3.16-3.45
Sc: 0.8242 0.5245 0.2573  3 Sc 3.10-3.23, 3 Ho 3.16-3.43, 1 Ce 3.19
Sc: 0.9722 0.6782 0.9208  5 Sc 3.09-3.23, 2 Ho 3.15-3.43, 1 Ce 3.45

Values from the calculation:
Total DFT energy (no corrections): -5.61 eV per atom
SG: No. 36
M_tot: 1.8 μB per cell

---

9.
Density functional theory data (PBE-GGA) for a relaxed structure of Ce3Ho12Sc5.

Cell: 15.6932 15.6932 15.6932 Å, 109.47 109.47 109.47°
Closest atoms and distances in Å follow each position.
Sites, in units of the cell vectors:
Ce: 0.1250 0.2500 0.3750  4 Ho 3.08
Ce: 0.1250 0.3750 0.7500  4 Ho 3.08
Ce: 0.2500 0.3750 0.1250  4 Ho 3.08
Ce: 0.2500 0.8750 0.6250  4 Ho 3.08
Ce: 0.3750 0.1250 0.2500  4 Ho 3.08
Ce: 0.3750 0.7500 0.1250  4 Ho 3.08
Ce: 0.6250 0.2500 0.8750  4 Ho 3.08
Ce: 0.6250 0.8750 0.7500  4 Ho 3.08
Ce: 0.7500 0.1250 0.3750  4 Ho 3.08
Ce: 0.7500 0.6250 0.8750  4 Ho 3.08
Ce: 0.8750 0.6250 0.2500  4 Ho 3.08
Ce: 0.8750 0.7500 0.6250  4 Ho 3.08
Ho: 0.0634 0.6319 0.4052  2 Sc 3.03-3.15, 1 Ce 3.08
Ho: 0.0634 0.9315 0.6582  2 Sc 3.03-3.15, 1 Ce 3.08
Ho: 0.0685 0.2267 0.1319  2 Sc 3.03-3.15, 1 Ce 3.08
Ho: 0.0685 0.3418 0.9366  2 Sc 3.03-3.15, 1 Ce 3.08
Ho: 0.0948 0.7267 0.6582  2 Sc 3.03-3.15, 1 Ce 3.08
Ho: 0.0948 0.8681 0.4366  2 Sc 3.03-3.15, 1 Ce 3.08
Ho: 0.1319 0.0685 0.2267  2 Sc 3.03-3.15, 1 Ce 3.08
Ho: 0.1319 0.5634 0.9052  2 Sc 3.03-3.15, 1 Ce 3.08
Ho: 0.1582 0.2267 0.5948  2 Sc 3.03-3.15, 1 Ce 3.08
Ho: 0.1582 0.4315 0.5634  2 Sc 3.03-3.15, 1 Ce 3.08
Ho: 0.2267 0.1319 0.0685  2 Sc 3.03-3.15, 1 Ce 3.08
Ho: 0.2267 0.5948 0.1582  2 Sc 3.03-3.15, 1 Ce 3.08
Ho: 0.2733 0.3418 0.9052  2 Sc 3.03-3.15, 1 Ce 3.08
Ho: 0.2733 0.4315 0.3681  2 Sc 3.03-3.15, 1 Ce 3.08
Ho: 0.3418 0.9052 0.2733  2 Sc 3.03-3.15, 1 Ce 3.08
Ho: 0.3418 0.9366 0.0685  2 Sc 3.03-3.15, 1 Ce 3.08
Ho: 0.3681 0.2733 0.4315  2 Sc 3.03-3.15, 1 Ce 3.08
Ho: 0.3681 0.5948 0.9366  2 Sc 3.03-3.15, 1 Ce 3.08
Ho: 0.4052 0.0634 0.6319  2 Sc 3.03-3.15, 1 Ce 3.08
Ho: 0.4052 0.8418 0.7733  2 Sc 3.03-3.15, 1 Ce 3.08
Ho: 0.4315 0.3681 0.2733  2 Sc 3.03-3.15, 1 Ce 3.08
Ho: 0.4315 0.5634 0.1582  2 Sc 3.03-3.15, 1 Ce 3.08
Ho: 0.4366 0.0948 0.8681  2 Sc 3.03-3.15, 1 Ce 3.08
Ho: 0.4366 0.8418 0.5685  2 Sc 3.03-3.15, 1 Ce 3.08
Ho: 0.5634 0.1582 0.4315  2 Sc 3.03-3.15, 1 Ce 3.08
Ho: 0.5634 0.9052 0.1319  2 Sc 3.03-3.15, 1 Ce 3.08
Ho: 0.5685 0.4366 0.8418  2 Sc 3.03-3.15, 1 Ce 3.08
Ho: 0.5685 0.6319 0.7267  2 Sc 3.03-3.15, 1 Ce 3.08
Ho: 0.5948 0.1582 0.2267  2 Sc 3.03-3.15, 1 Ce 3.08
Ho: 0.5948 0.9366 0.3681  2 Sc 3.03-3.15, 1 Ce 3.08
Ho: 0.6319 0.4052 0.0634  2 Sc 3.03-3.15, 1 Ce 3.08
Ho: 0.6319 0.7267 0.5685  2 Sc 3.03-3.15, 1 Ce 3.08
Ho: 0.6582 0.0634 0.9315  2 Sc 3.03-3.15, 1 Ce 3.08
Ho: 0.6582 0.0948 0.7267  2 Sc 3.03-3.15, 1 Ce 3.08
Ho: 0.7267 0.5685 0.6319  2 Sc 3.03-3.15, 1 Ce 3.08
Ho: 0.7267 0.6582 0.0948  2 Sc 3.03-3.15, 1 Ce 3.08
Ho: 0.7733 0.4052 0.8418  2 Sc 3.03-3.15, 1 Ce 3.08
Ho: 0.7733 0.8681 0.9315  2 Sc 3.03-3.15, 1 Ce 3.08
Ho: 0.8418 0.5685 0.4366  2 Sc 3.03-3.15, 1 Ce 3.08
Ho: 0.8418 0.7733 0.4052  2 Sc 3.03-3.15, 1 Ce 3.08
Ho: 0.8681 0.4366 0.0948  2 Sc 3.03-3.15, 1 Ce 3.08
Ho: 0.8681 0.9315 0.7733  2 Sc 3.03-3.15, 1 Ce 3.08
Ho: 0.9052 0.1319 0.5634  2 Sc 3.03-3.15, 1 Ce 3.08
Ho: 0.9052 0.2733 0.3418  2 Sc 3.03-3.15, 1 Ce 3.08
Ho: 0.9315 0.6582 0.0634  2 Sc 3.03-3.15, 1 Ce 3.08
Ho: 0.9315 0.7733 0.8681  2 Sc 3.03-3.15, 1 Ce 3.08
Ho: 0.9366 0.0685 0.3418  2 Sc 3.03-3.15, 1 Ce 3.08
Ho: 0.9366 0.3681 0.5948  2 Sc 3.03-3.15, 1 Ce 3.08
Sc: 0.0000 0.0000 0.0000  6 Ho 3.03
Sc: 0.0000 0.0000 0.5000  6 Ho 3.03
Sc: 0.0000 0.5000 0.0000  6 Ho 3.03
Sc: 0.0000 0.5000 0.5000  6 Ho 3.03
Sc: 0.1250 0.7500 0.8750  4 Ho 3.15
Sc: 0.1250 0.8750 0.2500  4 Ho 3.15
Sc: 0.2500 0.1250 0.8750  4 Ho 3.15
Sc: 0.2500 0.6250 0.3750  4 Ho 3.15
Sc: 0.3750 0.2500 0.6250  4 Ho 3.15
Sc: 0.3750 0.6250 0.7500  4 Ho 3.15
Sc: 0.5000 0.0000 0.0000  6 Ho 3.03
Sc: 0.5000 0.0000 0.5000  6 Ho 3.03
Sc: 0.5000 0.5000 0.0000  6 Ho 3.03
Sc: 0.5000 0.5000 0.5000  6 Ho 3.03
Sc: 0.6250 0.3750 0.2500  4 Ho 3.15
Sc: 0.6250 0.7500 0.3750  4 Ho 3.15
Sc: 0.7500 0.3750 0.6250  4 Ho 3.15
Sc: 0.7500 0.8750 0.1250  4 Ho 3.15
Sc: 0.8750 0.1250 0.7500  4 Ho 3.15
Sc: 0.8750 0.2500 0.1250  4 Ho 3.15

Values from the calculation:
Total DFT energy (no corrections): -4.11 eV per atom
SG: No. 230
M_tot: 34.5 μB per cell

---

10.
Density functional theory data (PBE-GGA) for a relaxed structure of CeHoSc4.

Cell: 3.2485 5.3057 9.1634 Å, 90.00 90.00 90.00°
Closest atoms and distances in Å follow each position.
Sites, in units of the cell vectors:
Ce: 0.0000 0.0000 0.0000  2 Ce 3.25, 12 Sc 3.46
Ho: 0.0000 0.5000 0.5000  2 Ho 3.25, 12 Sc 3.46-3.47
Sc: 0.5000 0.0000 0.3330  5 Sc 3.06-3.25
Sc: 0.5000 0.0000 0.6670  5 Sc 3.06-3.25
Sc: 0.5000 0.5000 0.1665  5 Sc 3.05-3.25
Sc: 0.5000 0.5000 0.8335  5 Sc 3.05-3.25

Values from the calculation:
Total DFT energy (no corrections): -5.91 eV per atom
Offset from the most stable computed form: 0.0 meV/atom
SG: No. 47
M_tot: 0.6 μB per cell

---

11.
Density functional theory data (PBE-GGA) for a relaxed structure of CeHo6Sc2.

Cell: 7.4196 7.4196 7.4196 Å, 57.23 57.23 57.23°
Closest atoms and distances in Å follow each position.
Sites, in units of the cell vectors:
Ce: 0.0000 0.0000 0.0000  6 Ho 2.74-2.98
Ho: 0.0563 0.0563 0.5447  1 Ce 2.98, 2 Ho 3.34
Ho: 0.0563 0.5447 0.0563  1 Ce 2.98, 2 Ho 3.34
Ho: 0.2675 0.2675 0.7108  1 Ce 2.74
Ho: 0.2675 0.7108 0.2675  1 Ce 2.74
Ho: 0.5447 0.0563 0.0563  1 Ce 2.98, 2 Ho 3.34
Ho: 0.7108 0.2675 0.2675  1 Ce 2.74
Sc: 0.5622 0.5622 0.5622  1 Sc 3.27, 9 Ho 3.28-3.56
Sc: 0.7384 0.7384 0.7384  1 Sc 3.27, 9 Ho 3.45-3.57

Values from the calculation:
Total DFT energy (no corrections): -4.76 eV per atom
Offset from the most stable computed form: 315.9 meV/atom
SG: No. 160
M_tot: 0.0 μB per cell

---

12.
Density functional theory data (PBE-GGA) for a relaxed structure of Ce2HoSc7.

Cell: 11.6656 11.6656 3.1344 Å, 90.00 90.00 140.60°
Closest atoms and distances in Å follow each position.
Sites, in units of the cell vectors:
Ce: 0.1169 0.8831 0.0000  3 Sc 2.57-2.63
Ce: 0.8831 0.1169 0.0000  3 Sc 2.57-2.63
Ho: 0.5000 0.5000 0.5000  2 Ho 3.13
Sc: 0.0000 0.0000 0.0000  2 Ce 2.57
Sc: 0.1712 0.4710 0.0000  1 Ce 2.63, 1 Sc 2.81
Sc: 0.2392 0.7608 0.5000  2 Ce 3.11, 6 Sc 3.13-3.22
Sc: 0.4710 0.1712 0.0000  1 Ce 2.63, 1 Sc 2.81
Sc: 0.5290 0.8288 0.0000  1 Ce 2.63, 1 Sc 2.81
Sc: 0.7608 0.2392 0.5000  2 Ce 3.11, 6 Sc 3.13-3.22
Sc: 0.8288 0.5290 0.0000  1 Ce 2.63, 1 Sc 2.81

Values from the calculation:
Total DFT energy (no corrections): -5.55 eV per atom
SG: No. 65
M_tot: 0.0 μB per cell